P) MoIr5 at its PBEsol-relaxed geometry, computed with SCAN.

The structure in CIF format:
```
data_MoIr5
_symmetry_space_group_name_H-M 'P 1'
_symmetry_Int_Tables_number 1
_cell_length_a 3.844
_cell_length_b 3.855
_cell_length_c 6.057
_cell_angle_alpha 90.00
_cell_angle_beta 108.50
_cell_angle_gamma 90.00
loop_
_symmetry_equiv_pos_as_xyz
'x,y,z'
loop_
_atom_site_label
_atom_site_type_symbol
_atom_site_fract_x
_atom_site_fract_y
_atom_site_fract_z
Mo1 Mo 0.500 0.000 0.000
Ir1 Ir 0.334 0.500 0.668
Ir2 Ir 0.161 0.000 0.322
Ir3 Ir 0.000 0.500 0.000
Ir4 Ir 0.839 0.000 0.678
Ir5 Ir 0.666 0.500 0.332
```

Q) MoIr5 at its PBEsol-relaxed geometry, computed with SCAN.

The structure in CIF format:
```
data_MoIr5
_symmetry_space_group_name_H-M 'P 1'
_symmetry_Int_Tables_number 1
_cell_length_a 4.358
_cell_length_b 4.748
_cell_length_c 4.748
_cell_angle_alpha 120.00
_cell_angle_beta 90.00
_cell_angle_gamma 90.00
loop_
_symmetry_equiv_pos_as_xyz
'x,y,z'
loop_
_atom_site_label
_atom_site_type_symbol
_atom_site_fract_x
_atom_site_fract_y
_atom_site_fract_z
Mo1 Mo 0.500 0.000 0.000
Ir1 Ir 0.000 0.337 0.337
Ir2 Ir 0.000 0.663 0.000
Ir3 Ir 0.000 0.000 0.663
Ir4 Ir 0.500 0.333 0.667
Ir5 Ir 0.500 0.667 0.333
```

Stability, lowest: Q)

P) MoIr5 at its PBEsol-relaxed geometry, computed with SCAN.

The structure in CIF format:
```
data_MoIr5
_symmetry_space_group_name_H-M 'P 1'
_symmetry_Int_Tables_number 1
_cell_length_a 2.738
_cell_length_b 4.369
_cell_length_c 7.254
_cell_angle_alpha 90.00
_cell_angle_beta 100.88
_cell_angle_gamma 90.00
loop_
_symmetry_equiv_pos_as_xyz
'x,y,z'
loop_
_atom_site_label
_atom_site_type_symbol
_atom_site_fract_x
_atom_site_fract_y
_atom_site_fract_z
Mo1 Mo 0.110 0.500 0.220
Ir1 Ir 0.000 0.000 0.000
Ir2 Ir 0.333 0.000 0.667
Ir3 Ir 0.667 0.000 0.334
Ir4 Ir 0.446 0.500 0.893
Ir5 Ir 0.777 0.500 0.554
```

Q) MoIr5 at its PBEsol-relaxed geometry, computed with SCAN.

The structure in CIF format:
```
data_MoIr5
_symmetry_space_group_name_H-M 'P 1'
_symmetry_Int_Tables_number 1
_cell_length_a 2.734
_cell_length_b 5.166
_cell_length_c 6.449
_cell_angle_alpha 103.49
_cell_angle_beta 90.00
_cell_angle_gamma 105.35
loop_
_symmetry_equiv_pos_as_xyz
'x,y,z'
loop_
_atom_site_label
_atom_site_type_symbol
_atom_site_fract_x
_atom_site_fract_y
_atom_site_fract_z
Mo1 Mo 0.722 0.444 0.945
Ir1 Ir 0.000 0.001 0.999
Ir2 Ir 0.386 0.773 0.271
Ir3 Ir 0.668 0.335 0.333
Ir4 Ir 0.058 0.116 0.616
Ir5 Ir 0.332 0.665 0.668
```

Stability, lowest: Q)

P) Mo2Ir at its PBEsol-relaxed geometry, computed with SCAN.

The structure in CIF format:
```
data_Mo2Ir
_symmetry_space_group_name_H-M 'P 1'
_symmetry_Int_Tables_number 1
_cell_length_a 4.373
_cell_length_b 4.373
_cell_length_c 5.439
_cell_angle_alpha 90.00
_cell_angle_beta 90.00
_cell_angle_gamma 120.00
loop_
_symmetry_equiv_pos_as_xyz
'x,y,z'
loop_
_atom_site_label
_atom_site_type_symbol
_atom_site_fract_x
_atom_site_fract_y
_atom_site_fract_z
Ir1 Ir 0.667 0.333 0.750
Ir2 Ir 0.333 0.667 0.250
Mo1 Mo 0.000 0.000 0.000
Mo2 Mo 0.000 0.000 0.500
Mo3 Mo 0.667 0.333 0.250
Mo4 Mo 0.333 0.667 0.750
```

Q) Mo2Ir at its PBEsol-relaxed geometry, computed with SCAN.

The structure in CIF format:
```
data_Mo2Ir
_symmetry_space_group_name_H-M 'P 1'
_symmetry_Int_Tables_number 1
_cell_length_a 4.912
_cell_length_b 9.565
_cell_length_c 9.565
_cell_angle_alpha 90.00
_cell_angle_beta 90.00
_cell_angle_gamma 90.00
loop_
_symmetry_equiv_pos_as_xyz
'x,y,z'
loop_
_atom_site_label
_atom_site_type_symbol
_atom_site_fract_x
_atom_site_fract_y
_atom_site_fract_z
Ir1 Ir 0.000 0.000 0.000
Ir2 Ir 0.500 0.500 0.500
Ir3 Ir 0.000 0.069 0.265
Ir4 Ir 0.000 0.931 0.735
Ir5 Ir 0.500 0.235 0.569
Ir6 Ir 0.500 0.765 0.431
Ir7 Ir 0.500 0.431 0.765
Ir8 Ir 0.500 0.569 0.235
Ir9 Ir 0.000 0.265 0.069
Ir10 Ir 0.000 0.735 0.931
Mo1 Mo 0.000 0.396 0.604
Mo2 Mo 0.000 0.604 0.396
Mo3 Mo 0.500 0.896 0.896
Mo4 Mo 0.500 0.104 0.104
Mo5 Mo 0.000 0.128 0.539
Mo6 Mo 0.000 0.872 0.461
Mo7 Mo 0.500 0.961 0.628
Mo8 Mo 0.500 0.039 0.372
Mo9 Mo 0.500 0.372 0.039
Mo10 Mo 0.500 0.628 0.961
Mo11 Mo 0.000 0.539 0.128
Mo12 Mo 0.000 0.461 0.872
Mo13 Mo 0.250 0.319 0.319
Mo14 Mo 0.250 0.681 0.681
Mo15 Mo 0.750 0.181 0.819
Mo16 Mo 0.750 0.819 0.181
Mo17 Mo 0.250 0.181 0.819
Mo18 Mo 0.250 0.819 0.181
Mo19 Mo 0.750 0.319 0.319
Mo20 Mo 0.750 0.681 0.681
```

Stability, lowest: P)

P) Ni2MoIr at its PBEsol-relaxed geometry, computed with SCAN.

The structure in CIF format:
```
data_Ni2MoIr
_symmetry_space_group_name_H-M 'P 1'
_symmetry_Int_Tables_number 1
_cell_length_a 2.635
_cell_length_b 2.635
_cell_length_c 8.604
_cell_angle_alpha 81.19
_cell_angle_beta 81.19
_cell_angle_gamma 60.00
loop_
_symmetry_equiv_pos_as_xyz
'x,y,z'
loop_
_atom_site_label
_atom_site_type_symbol
_atom_site_fract_x
_atom_site_fract_y
_atom_site_fract_z
Ir1 Ir 0.500 0.500 0.500
Mo1 Mo 0.000 0.000 0.000
Ni1 Ni 0.250 0.250 0.251
Ni2 Ni 0.750 0.750 0.749
```

Q) Ni2MoIr at its PBEsol-relaxed geometry, computed with SCAN.

The structure in CIF format:
```
data_Ni2MoIr
_symmetry_space_group_name_H-M 'P 1'
_symmetry_Int_Tables_number 1
_cell_length_a 2.669
_cell_length_b 3.639
_cell_length_c 5.177
_cell_angle_alpha 90.00
_cell_angle_beta 90.00
_cell_angle_gamma 90.00
loop_
_symmetry_equiv_pos_as_xyz
'x,y,z'
loop_
_atom_site_label
_atom_site_type_symbol
_atom_site_fract_x
_atom_site_fract_y
_atom_site_fract_z
Ni1 Ni 0.500 0.000 0.013
Ni2 Ni 0.000 0.500 0.232
Mo1 Mo 0.000 0.500 0.760
Ir1 Ir 0.500 0.000 0.495
```

R) Ni2MoIr at its PBEsol-relaxed geometry, computed with SCAN.

The structure in CIF format:
```
data_Ni2MoIr
_symmetry_space_group_name_H-M 'P 1'
_symmetry_Int_Tables_number 1
_cell_length_a 3.659
_cell_length_b 3.659
_cell_length_c 4.539
_cell_angle_alpha 113.77
_cell_angle_beta 113.77
_cell_angle_gamma 90.00
loop_
_symmetry_equiv_pos_as_xyz
'x,y,z'
loop_
_atom_site_label
_atom_site_type_symbol
_atom_site_fract_x
_atom_site_fract_y
_atom_site_fract_z
Ni1 Ni 0.500 0.500 0.000
Ni2 Ni 0.750 0.250 0.500
Mo1 Mo 0.250 0.750 0.500
Ir1 Ir 0.000 0.000 0.000
```

S) Ni2MoIr at its PBEsol-relaxed geometry, computed with SCAN.

The structure in CIF format:
```
data_Ni2MoIr
_symmetry_space_group_name_H-M 'P 1'
_symmetry_Int_Tables_number 1
_cell_length_a 3.669
_cell_length_b 3.669
_cell_length_c 4.527
_cell_angle_alpha 113.91
_cell_angle_beta 113.91
_cell_angle_gamma 90.00
loop_
_symmetry_equiv_pos_as_xyz
'x,y,z'
loop_
_atom_site_label
_atom_site_type_symbol
_atom_site_fract_x
_atom_site_fract_y
_atom_site_fract_z
Ni1 Ni 0.750 0.250 0.500
Ni2 Ni 0.250 0.750 0.500
Mo1 Mo 0.000 0.000 0.000
Ir1 Ir 0.500 0.500 0.000
```

Stability, lowest: P)

P) MoIrOs at its PBEsol-relaxed geometry, computed with SCAN.

The structure in CIF format:
```
data_MoIrOs
_symmetry_space_group_name_H-M 'P 1'
_symmetry_Int_Tables_number 1
_cell_length_a 4.154
_cell_length_b 4.154
_cell_length_c 4.154
_cell_angle_alpha 60.00
_cell_angle_beta 60.00
_cell_angle_gamma 60.00
loop_
_symmetry_equiv_pos_as_xyz
'x,y,z'
loop_
_atom_site_label
_atom_site_type_symbol
_atom_site_fract_x
_atom_site_fract_y
_atom_site_fract_z
Ir1 Ir 0.500 0.500 0.500
Mo1 Mo 0.250 0.250 0.250
Os1 Os 0.000 0.000 0.000
```

Q) MoIrOs at its PBEsol-relaxed geometry, computed with SCAN.

The structure in CIF format:
```
data_MoIrOs
_symmetry_space_group_name_H-M 'P 1'
_symmetry_Int_Tables_number 1
_cell_length_a 2.724
_cell_length_b 2.724
_cell_length_c 6.135
_cell_angle_alpha 102.83
_cell_angle_beta 102.83
_cell_angle_gamma 90.00
loop_
_symmetry_equiv_pos_as_xyz
'x,y,z'
loop_
_atom_site_label
_atom_site_type_symbol
_atom_site_fract_x
_atom_site_fract_y
_atom_site_fract_z
Ir1 Ir 0.001 0.001 0.002
Mo1 Mo 0.333 0.333 0.665
Os1 Os 0.666 0.666 0.332
```

Stability, lowest: P)

P) MoP2Ir at its PBEsol-relaxed geometry, computed with SCAN.

The structure in CIF format:
```
data_MoP2Ir
_symmetry_space_group_name_H-M 'P 1'
_symmetry_Int_Tables_number 1
_cell_length_a 2.878
_cell_length_b 4.102
_cell_length_c 5.058
_cell_angle_alpha 103.57
_cell_angle_beta 90.00
_cell_angle_gamma 110.54
loop_
_symmetry_equiv_pos_as_xyz
'x,y,z'
loop_
_atom_site_label
_atom_site_type_symbol
_atom_site_fract_x
_atom_site_fract_y
_atom_site_fract_z
Ir1 Ir 0.000 0.000 0.500
Mo1 Mo 0.500 0.000 0.000
P1 P 0.748 0.496 0.764
P2 P 0.252 0.504 0.236
```

Q) MoP2Ir at its PBEsol-relaxed geometry, computed with SCAN.

The structure in CIF format:
```
data_MoP2Ir
_symmetry_space_group_name_H-M 'P 1'
_symmetry_Int_Tables_number 1
_cell_length_a 2.865
_cell_length_b 2.865
_cell_length_c 7.222
_cell_angle_alpha 90.00
_cell_angle_beta 90.00
_cell_angle_gamma 110.38
loop_
_symmetry_equiv_pos_as_xyz
'x,y,z'
loop_
_atom_site_label
_atom_site_type_symbol
_atom_site_fract_x
_atom_site_fract_y
_atom_site_fract_z
Ir1 Ir 0.500 0.500 0.500
Mo1 Mo 0.500 0.500 0.000
P1 P 0.000 0.000 0.252
P2 P 0.000 0.000 0.748
```

Stability, lowest: Q)